Record 1
First-principles (PBE) data for a relaxed Nd3TlCd2AgIr2 crystal, as listed in OQMD via LeMat-Bulk.

```
data_Nd3TlCd2AgIr2
_space_group_name_H-M_alt 'A m m 2'
_space_group_IT_number 38
_cell_length_a 3.982
_cell_length_b 13.510
_cell_length_c 7.849
_cell_angle_alpha 90.00
_cell_angle_beta 90.00
_cell_angle_gamma 90.00
loop_
_space_group_symop_operation_xyz
'x,y,z'
'-x,-y,z'
'-x,y,z'
'x,-y,z'
'x,y+1/2,z+1/2'
'-x,-y+1/2,z+1/2'
'-x,y+1/2,z+1/2'
'x,-y+1/2,z+1/2'
loop_
_atom_site_label
_atom_site_fract_x
_atom_site_fract_y
_atom_site_fract_z
Nd1 0.000 0.000 0.000
Nd2 0.000 0.208 0.378
Tl1 0.500 0.000 0.325
Cd1 0.500 0.131 0.717
Ag1 0.000 0.000 0.592
Ir1 0.500 0.167 0.083
```

---

Record 2
First-principles (PBE) data for a relaxed KCd2Ag2 crystal, as listed in OQMD via LeMat-Bulk.

```
data_KCd2Ag2
_space_group_name_H-M_alt 'I 4/m m m'
_space_group_IT_number 139
_space_group_name_Hall '-I 4 2'
_cell_length_a 4.679
_cell_length_b 4.679
_cell_length_c 12.347
_cell_angle_alpha 90.00
_cell_angle_beta 90.00
_cell_angle_gamma 90.00
loop_
_atom_site_label
_atom_site_fract_x
_atom_site_fract_y
_atom_site_fract_z
K1 0.000 0.000 0.000
Cd1 0.000 0.500 0.250
Ag1 0.000 0.000 0.388
```

---

Record 3
First-principles (PBE) data for a relaxed KCd2Ag2 crystal, as listed in OQMD via LeMat-Bulk.

```
data_KCd2Ag2
_space_group_name_H-M_alt 'P 4/m b m'
_space_group_IT_number 127
_space_group_name_Hall '-P 4 2ab'
_cell_length_a 8.820
_cell_length_b 8.820
_cell_length_c 2.999
_cell_angle_alpha 90.00
_cell_angle_beta 90.00
_cell_angle_gamma 90.00
loop_
_atom_site_label
_atom_site_fract_x
_atom_site_fract_y
_atom_site_fract_z
K1 0.000 0.000 0.000
Cd1 0.123 0.377 0.000
Ag1 0.172 0.672 0.500
```

---

Record 4
First-principles (PBE) data for a relaxed K2Cd3Ag2 crystal, as listed in OQMD via LeMat-Bulk.

```
data_K2Cd3Ag2
_space_group_name_H-M_alt 'C 1 2/m 1'
_space_group_IT_number 12
_cell_length_a 12.349
_cell_length_b 4.827
_cell_length_c 8.150
_cell_angle_alpha 90.00
_cell_angle_beta 121.26
_cell_angle_gamma 90.00
loop_
_space_group_symop_operation_xyz
'x,y,z'
'-x,-y,-z'
'-x,y,-z'
'x,-y,z'
'x+1/2,y+1/2,z'
'-x+1/2,-y+1/2,-z'
'-x+1/2,y+1/2,-z'
'x+1/2,-y+1/2,z'
loop_
_atom_site_label
_atom_site_fract_x
_atom_site_fract_y
_atom_site_fract_z
K1 0.140 0.000 0.266
Cd1 0.000 0.500 0.500
Cd2 0.157 0.500 0.928
Ag1 0.118 0.000 0.696
```

---

Record 5
First-principles (PBE) data for a relaxed KCdAg crystal, as listed in OQMD via LeMat-Bulk.

```
data_KCdAg
_space_group_name_H-M_alt 'F -4 3 m'
_space_group_IT_number 216
_space_group_name_Hall 'F -4 2 3'
_cell_length_a 7.390
_cell_length_b 7.390
_cell_length_c 7.390
_cell_angle_alpha 90.00
_cell_angle_beta 90.00
_cell_angle_gamma 90.00
loop_
_atom_site_label
_atom_site_fract_x
_atom_site_fract_y
_atom_site_fract_z
K1 0.000 0.000 0.000
Cd1 0.000 0.000 0.500
Ag1 0.250 0.250 0.750
```

---

Record 6
First-principles (PBE) data for a relaxed KMg2Sc2CdAg2 crystal, as listed in OQMD via LeMat-Bulk.

```
data_KMg2Sc2CdAg2
_space_group_name_H-M_alt 'P -4 m 2'
_space_group_IT_number 115
_cell_length_a 4.838
_cell_length_b 4.838
_cell_length_c 7.720
_cell_angle_alpha 90.00
_cell_angle_beta 90.00
_cell_angle_gamma 90.00
loop_
_space_group_symop_operation_xyz
'x,y,z'
'y,-x,-z'
'-x,-y,z'
'-y,x,-z'
'-x,y,z'
'-y,-x,-z'
'x,-y,z'
'y,x,-z'
loop_
_atom_site_label
_atom_site_fract_x
_atom_site_fract_y
_atom_site_fract_z
K1 0.000 0.000 0.000
Mg1 0.000 0.500 0.719
Sc1 0.000 0.500 0.280
Cd1 0.500 0.500 0.500
Ag1 0.000 0.000 0.500
Ag2 0.500 0.500 0.000
```

---

Record 7
First-principles (PBE) data for a relaxed LaNdCd2Ag4 crystal, as listed in OQMD via LeMat-Bulk.

```
data_LaNdCd2Ag4
_space_group_name_H-M_alt 'P 4/m m m'
_space_group_IT_number 123
_space_group_name_Hall '-P 4 2'
_cell_length_a 5.083
_cell_length_b 5.083
_cell_length_c 7.199
_cell_angle_alpha 90.00
_cell_angle_beta 90.00
_cell_angle_gamma 90.00
loop_
_atom_site_label
_atom_site_fract_x
_atom_site_fract_y
_atom_site_fract_z
La1 0.000 0.000 0.000
Nd1 0.500 0.500 0.500
Cd1 0.000 0.000 0.500
Cd2 0.500 0.500 0.000
Ag1 0.000 0.500 0.253
```

Computed properties:
* E_form: -0.286 eV per atom

---

Record 8
First-principles (PBE) data for a relaxed La2Cd4NiAg crystal, as listed in OQMD via LeMat-Bulk.

```
data_La2Cd4NiAg
_space_group_name_H-M_alt 'A m m 2'
_space_group_IT_number 38
_cell_length_a 8.329
_cell_length_b 4.391
_cell_length_c 10.187
_cell_angle_alpha 90.00
_cell_angle_beta 90.00
_cell_angle_gamma 90.00
loop_
_space_group_symop_operation_xyz
'x,y,z'
'-x,-y,z'
'-x,y,z'
'x,-y,z'
'x,y+1/2,z+1/2'
'-x,-y+1/2,z+1/2'
'-x,y+1/2,z+1/2'
'x,-y+1/2,z+1/2'
loop_
_atom_site_label
_atom_site_fract_x
_atom_site_fract_y
_atom_site_fract_z
La1 0.000 0.000 0.000
La2 0.500 0.000 0.129
Cd1 0.210 0.000 0.710
Cd2 0.311 0.000 0.421
Ni1 0.500 0.000 0.845
Ag1 0.000 0.000 0.290
```

Computed properties:
* E_form: -0.339 eV per atom

---

| no. | VASP energy (eV per atom) |
| --- | --- |
| 1 | -4.79 |
| 2 | -1.75 |
| 3 | -1.77 |
| 4 | -1.60 |
| 5 | -1.53 |
| 6 | -2.87 |
| 7 | -3.13 |
| 8 | -3.07 |